[1]
First-principles (PBE) data for crystalline Np6PdS12 at its relaxed geometry, as listed in the Alexandria database.

```
Np6PdS12
1.0
5.633 3.252 4.225
-5.633 3.252 4.225
0.000 -6.505 4.225
Np Pd S
6 1 12
Direct
0.077 0.586 0.762
0.238 0.923 0.414
0.414 0.238 0.923
0.586 0.762 0.077
0.762 0.077 0.586
0.923 0.414 0.238
0.500 0.500 0.500
0.047 0.914 0.688
0.086 0.312 0.953
0.188 0.576 0.428
0.312 0.953 0.086
0.424 0.572 0.812
0.428 0.188 0.576
0.572 0.812 0.424
0.576 0.428 0.188
0.688 0.047 0.914
0.812 0.424 0.572
0.914 0.688 0.047
0.953 0.086 0.312
```

- Symmetry: R-3 (148)
- Size of the total moment: 18.436 μB/cell
- ΔE_f (raw): -1107 meV per atom

[2]
First-principles (PBE) data for crystalline NpPdS4 at its relaxed geometry, as listed in the Alexandria database.

```
NpPdS4
1.0
4.244 -3.345 0.000
4.244 3.345 0.000
0.000 0.000 9.470
Np Pd S
2 2 8
Direct
0.134 0.866 0.750
0.866 0.134 0.250
0.365 0.635 0.250
0.635 0.365 0.750
0.155 0.845 0.038
0.155 0.845 0.462
0.204 0.373 0.750
0.373 0.204 0.250
0.627 0.796 0.750
0.796 0.627 0.250
0.845 0.155 0.538
0.845 0.155 0.962
```

- Symmetry: Cmcm (63)
- Size of the total moment: 4.866 μB/cell
- ΔE_f (raw): -504 meV per atom

[3]
First-principles (PBE) data for crystalline NpPdS2 at its relaxed geometry, as listed in the Alexandria database.

```
NpPdS2
1.0
2.026 -7.552 0.000
2.026 7.552 0.000
0.000 0.000 5.274
Np Pd S
2 2 4
Direct
0.174 0.826 0.750
0.826 0.174 0.250
0.393 0.607 0.750
0.607 0.393 0.250
0.199 0.801 0.250
0.438 0.562 0.250
0.562 0.438 0.750
0.801 0.199 0.750
```

- Symmetry: Cmcm (63)
- Size of the total moment: 6.509 μB/cell
- ΔE_f (raw): -978 meV per atom
- Polymorph energy (0 for the lowest one): 0 meV per atom

[4]
First-principles (PBE) data for crystalline NpPd5S4 at its relaxed geometry, as listed in the Alexandria database.

```
NpPd5S4
1.0
7.256 0.000 0.000
0.000 8.966 0.000
0.000 0.000 5.606
Np Pd S
2 10 8
Direct
0.250 0.250 0.164
0.750 0.750 0.836
0.058 0.032 0.734
0.058 0.468 0.734
0.250 0.750 0.768
0.442 0.032 0.734
0.442 0.468 0.734
0.558 0.532 0.266
0.558 0.968 0.266
0.750 0.250 0.232
0.942 0.532 0.266
0.942 0.968 0.266
0.007 0.250 0.508
0.250 0.541 0.069
0.250 0.959 0.069
0.493 0.250 0.508
0.507 0.750 0.492
0.750 0.041 0.931
0.750 0.459 0.931
0.993 0.750 0.492
```

- Symmetry: Pmmn (59)
- Size of the total moment: 6.304 μB/cell
- ΔE_f (raw): -396 meV per atom

[5]
First-principles (PBE) data for crystalline NpPdS3 at its relaxed geometry, as listed in the Alexandria database.

```
NpPdS3
1.0
4.040 0.000 0.000
0.000 8.102 0.000
-0.564 0.000 6.020
Np Pd S
2 2 6
Direct
0.214 0.250 0.007
0.786 0.750 0.993
0.000 0.000 0.500
0.000 0.500 0.500
0.209 0.750 0.672
0.301 0.557 0.193
0.301 0.943 0.193
0.699 0.057 0.807
0.699 0.443 0.807
0.791 0.250 0.328
```

- Symmetry: P2_1/m (11)
- Size of the total moment: 5.988 μB/cell
- ΔE_f (raw): -849 meV per atom

[6]
First-principles (PBE) data for crystalline SrNpPdS3 at its relaxed geometry, as listed in the Alexandria database.

```
SrNpPdS3
1.0
8.208 0.000 0.000
0.000 3.987 0.000
-2.275 0.000 8.511
Sr Np Pd S
2 2 2 6
Direct
0.194 0.250 0.233
0.806 0.750 0.767
0.321 0.750 0.832
0.679 0.250 0.168
0.111 0.250 0.565
0.889 0.750 0.435
0.103 0.250 0.861
0.254 0.750 0.521
0.440 0.750 0.154
0.560 0.250 0.846
0.746 0.250 0.479
0.897 0.750 0.139
```

- Symmetry: P2_1/m (11)
- Size of the total moment: 6.865 μB/cell
- ΔE_f (raw): -1363 meV per atom

[7]
First-principles (PBE) data for crystalline SrNpPdS4 at its relaxed geometry, as listed in the Alexandria database.

```
SrNpPdS4
1.0
6.694 0.000 0.000
0.000 5.738 0.000
-2.621 0.000 7.912
Sr Np Pd S
2 2 2 8
Direct
0.240 0.250 0.441
0.760 0.750 0.559
0.241 0.250 0.939
0.759 0.750 0.061
0.276 0.750 0.188
0.724 0.250 0.812
0.052 0.750 0.363
0.053 0.750 0.904
0.459 0.527 0.776
0.459 0.973 0.776
0.541 0.027 0.224
0.541 0.473 0.224
0.947 0.250 0.096
0.948 0.250 0.637
```

- Symmetry: P2_1/m (11)
- Size of the total moment: 4.631 μB/cell
- ΔE_f (raw): -1134 meV per atom

[8]
First-principles (PBE) data for crystalline SrNpPd2S4 at its relaxed geometry, as listed in the Alexandria database.

```
SrNpPd2S4
1.0
-3.353 3.356 3.830
3.353 -3.356 3.830
3.353 3.356 -3.830
Sr Np Pd S
1 1 2 4
Direct
0.000 0.000 0.000
0.500 0.500 0.000
0.251 0.751 0.500
0.749 0.249 0.500
0.054 0.055 0.544
0.490 0.945 0.000
0.510 0.510 0.456
0.946 0.490 0.000
```

- Symmetry: I222 (23)
- Size of the total moment: 3.607 μB/cell
- ΔE_f (raw): -993 meV per atom

[9]
First-principles (PBE) data for crystalline SrNp4Pd3S12 at its relaxed geometry, as listed in the Alexandria database.

```
SrNp4Pd3S12
1.0
-4.863 4.863 4.863
4.863 -4.863 4.863
4.863 4.863 -4.863
Sr Np Pd S
1 4 3 12
Direct
0.000 0.000 0.000
0.000 0.000 0.500
0.000 0.500 0.000
0.500 0.000 0.000
0.500 0.500 0.500
0.000 0.500 0.500
0.500 0.000 0.500
0.500 0.500 0.000
0.153 0.311 0.842
0.158 0.469 0.311
0.158 0.847 0.689
0.311 0.158 0.469
0.311 0.842 0.153
0.469 0.311 0.158
0.531 0.689 0.842
0.689 0.158 0.847
0.689 0.842 0.531
0.842 0.153 0.311
0.842 0.531 0.689
0.847 0.689 0.158
```

- Symmetry: Im-3 (204)
- Size of the total moment: 12.028 μB/cell
- ΔE_f (raw): -965 meV per atom

[10]
First-principles (PBE) data for crystalline ThNp2PdS4 at its relaxed geometry, as listed in the Alexandria database.

```
ThNp2PdS4
1.0
-3.451 3.451 3.325
3.451 -3.451 3.325
3.451 3.451 -3.325
Th Np Pd S
1 2 1 4
Direct
0.000 0.000 0.000
0.000 0.500 0.500
0.500 0.000 0.500
0.500 0.500 0.000
0.080 0.508 0.000
0.492 0.492 0.572
0.508 0.080 0.000
0.920 0.920 0.428
```

- Symmetry: I-42m (121)
- Size of the total moment: 9.029 μB/cell
- ΔE_f (raw): -1171 meV per atom

[11]
First-principles (PBE) data for crystalline NpTlPdS2 at its relaxed geometry, as listed in the Alexandria database.

```
NpTlPdS2
1.0
7.511 0.000 0.000
0.000 4.885 0.000
-1.556 0.000 7.401
Np Tl Pd S
2 2 2 4
Direct
0.000 0.006 0.250
0.000 0.994 0.750
0.500 0.330 0.750
0.500 0.670 0.250
0.000 0.500 0.000
0.000 0.500 0.500
0.242 0.185 0.046
0.242 0.815 0.546
0.758 0.185 0.454
0.758 0.815 0.954
```

- Symmetry: P2/c (13)
- Size of the total moment: 7.977 μB/cell
- ΔE_f (raw): -640 meV per atom

[12]
First-principles (PBE) data for crystalline Np2TlPd2S6 at its relaxed geometry, as listed in the Alexandria database.

```
Np2TlPd2S6
1.0
6.506 0.000 0.000
2.217 6.772 0.000
3.226 2.633 5.815
Np Tl Pd S
2 1 2 6
Direct
0.017 0.327 0.326
0.983 0.673 0.674
0.000 0.000 0.000
0.486 0.353 0.741
0.514 0.647 0.259
0.243 0.361 0.545
0.245 0.605 0.905
0.257 0.958 0.305
0.743 0.042 0.695
0.755 0.395 0.095
0.757 0.639 0.455
```

- Symmetry: P-1 (2)
- Size of the total moment: 5.010 μB/cell
- ΔE_f (raw): -742 meV per atom

[13]
First-principles (PBE) data for crystalline NpTlPdS4 at its relaxed geometry, as listed in the Alexandria database.

```
NpTlPdS4
1.0
6.889 0.000 0.000
0.000 5.304 0.000
-3.073 0.000 8.778
Np Tl Pd S
2 2 2 8
Direct
0.222 0.250 0.447
0.778 0.750 0.553
0.238 0.250 0.955
0.762 0.750 0.045
0.279 0.750 0.700
0.721 0.250 0.300
0.031 0.750 0.829
0.084 0.750 0.433
0.458 0.542 0.305
0.458 0.958 0.305
0.542 0.042 0.695
0.542 0.458 0.695
0.916 0.250 0.567
0.969 0.250 0.171
```

- Symmetry: P2_1/m (11)
- Size of the total moment: 4.075 μB/cell
- ΔE_f (raw): -632 meV per atom

[14]
First-principles (PBE) data for crystalline NpTl3Pd2S6 at its relaxed geometry, as listed in the Alexandria database.

```
NpTl3Pd2S6
1.0
3.153 -5.463 0.000
3.153 5.463 0.000
-2.089 0.000 7.853
Np Tl Pd S
1 3 2 6
Direct
0.000 0.000 0.000
0.165 0.835 0.500
0.500 0.500 0.500
0.835 0.165 0.500
0.333 0.667 0.000
0.667 0.333 0.000
0.061 0.413 0.185
0.290 0.290 0.816
0.413 0.061 0.185
0.587 0.939 0.815
0.710 0.710 0.184
0.939 0.587 0.815
```

- Symmetry: C2/m (12)
- Size of the total moment: 2.658 μB/cell
- ΔE_f (raw): -509 meV per atom

[15]
First-principles (PBE) data for crystalline Np4TlPd3S12 at its relaxed geometry, as listed in the Alexandria database.

```
Np4TlPd3S12
1.0
-4.871 4.871 4.871
4.871 -4.871 4.871
4.871 4.871 -4.871
Np Tl Pd S
4 1 3 12
Direct
0.000 0.000 0.500
0.000 0.500 0.000
0.500 0.000 0.000
0.500 0.500 0.500
0.000 0.000 0.000
0.000 0.500 0.500
0.500 0.000 0.500
0.500 0.500 0.000
0.155 0.319 0.836
0.164 0.483 0.319
0.164 0.845 0.681
0.319 0.164 0.483
0.319 0.836 0.155
0.483 0.319 0.164
0.517 0.681 0.836
0.681 0.164 0.845
0.681 0.836 0.517
0.836 0.155 0.319
0.836 0.517 0.681
0.845 0.681 0.164
```

- Symmetry: Im-3 (204)
- Size of the total moment: 11.003 μB/cell
- ΔE_f (raw): -775 meV per atom

[16]
First-principles (PBE) data for crystalline NpTl2PdS4 at its relaxed geometry, as listed in the Alexandria database.

```
NpTl2PdS4
1.0
6.100 0.000 0.000
0.000 3.987 0.000
-2.452 0.000 7.700
Np Tl Pd S
1 2 1 4
Direct
0.000 0.000 0.000
0.000 0.500 0.500
0.500 0.000 0.500
0.500 0.500 0.000
0.243 0.500 0.192
0.274 0.000 0.810
0.726 0.000 0.190
0.757 0.500 0.808
```

- Symmetry: P2/m (10)
- Size of the total moment: 2.559 μB/cell
- ΔE_f (raw): -644 meV per atom

[17]
First-principles (PBE) data for crystalline NpTl2Pd2S4 at its relaxed geometry, as listed in the Alexandria database.

```
NpTl2Pd2S4
1.0
7.284 -2.008 0.000
7.284 2.008 0.000
-2.557 0.000 7.221
Np Tl Pd S
1 2 2 4
Direct
0.000 0.000 0.000
0.137 0.137 0.590
0.863 0.863 0.410
0.313 0.313 0.985
0.687 0.687 0.015
0.188 0.188 0.183
0.482 0.482 0.219
0.518 0.518 0.781
0.812 0.812 0.817
```

- Symmetry: C2/m (12)
- Size of the total moment: 1.969 μB/cell
- ΔE_f (raw): -661 meV per atom

[18]
First-principles (PBE) data for crystalline NpTlPdS3 at its relaxed geometry, as listed in the Alexandria database.

```
NpTlPdS3
1.0
8.647 0.000 0.000
0.000 4.029 0.000
-2.676 0.000 8.711
Np Tl Pd S
2 2 2 6
Direct
0.178 0.250 0.158
0.822 0.750 0.842
0.307 0.750 0.758
0.693 0.250 0.242
0.404 0.750 0.418
0.596 0.250 0.582
0.037 0.250 0.850
0.276 0.250 0.457
0.370 0.750 0.133
0.630 0.250 0.867
0.724 0.750 0.543
0.963 0.750 0.150
```

- Symmetry: P2_1/m (11)
- Size of the total moment: 5.027 μB/cell
- ΔE_f (raw): -829 meV per atom

[19]
First-principles (PBE) data for crystalline NpUPdS4 at its relaxed geometry, as listed in the Alexandria database.

```
NpUPdS4
1.0
6.417 0.000 0.000
0.000 6.328 0.000
-2.093 0.000 7.115
Np U Pd S
2 2 2 8
Direct
0.215 0.250 0.051
0.785 0.750 0.949
0.226 0.250 0.556
0.774 0.750 0.444
0.241 0.750 0.316
0.759 0.250 0.684
0.029 0.518 0.753
0.029 0.982 0.753
0.471 0.750 0.114
0.473 0.750 0.627
0.527 0.250 0.373
0.529 0.250 0.886
0.971 0.018 0.247
0.971 0.482 0.247
```

- Symmetry: P2_1/m (11)
- Size of the total moment: 10.289 μB/cell
- ΔE_f (raw): -1071 meV per atom

[20]
First-principles (PBE) data for crystalline NpU2Pd2S6 at its relaxed geometry, as listed in the Alexandria database.

```
NpU2Pd2S6
1.0
6.579 0.000 0.000
-3.290 5.698 0.000
0.000 0.000 6.371
Np U Pd S
1 2 2 6
Direct
0.000 0.000 0.000
0.333 0.667 0.500
0.667 0.333 0.500
0.333 0.667 0.000
0.667 0.333 0.000
0.000 0.346 0.249
0.000 0.654 0.751
0.346 0.000 0.249
0.346 0.346 0.751
0.654 0.000 0.751
0.654 0.654 0.249
```

- Symmetry: P-31m (162)
- Size of the total moment: 6.944 μB/cell
- ΔE_f (raw): -986 meV per atom